No. 1
NaCdAs2O8: optimized geometry, PBE.

Properties
Raw total energy (eV/atom): -5.1043
Calculated density (g/cm3): 3.63
ΔE_f (raw) (eV per atom): -0.84

Cell lengths 5.7924, 5.7924, 6.5037 Å; angles 90.00, 90.00, 120.00 degrees
Space group P-3 (No. 147)
Symmetry-distinct sites (fractional):
1 Na 0.0000 0.0000 0.0000 [1 per cell]
2 Cd 0.0000 0.0000 0.5000 [1 per cell]
3 As 0.3333 0.6667 0.6572 [2 per cell]
4 O 0.1178 0.3453 0.7345 [6 per cell]
5 O 0.3333 0.6667 0.3856 [2 per cell]

=====

No. 2
NaCdAsO4: optimized geometry, PBE.

Properties
Raw total energy (eV/atom): -5.1793
Calculated density (g/cm3): 5.08
ΔE_f (raw) (eV per atom): -1.36

Cell lengths 6.122, 6.585, 8.892 Å; angles 90.00, 90.00, 90.00 degrees
Space group Imma (No. 74)
Symmetry-distinct sites (fractional):
1 Na 0.250 0.250 0.250 [4 per cell]
2 Cd 0.000 0.000 0.000 [4 per cell]
3 As 0.000 0.250 0.631 [4 per cell]
4 O 0.000 0.031 0.736 [8 per cell]
5 O 0.229 0.250 0.512 [8 per cell]

=====

No. 3
NaCdAsO3: optimized geometry, PBE.

Properties
Raw total energy (eV/atom): -4.7975
Calculated density (g/cm3): 4.17
ΔE_f (raw) (eV per atom): -1.17

Cell lengths 7.809, 3.237, 8.167 Å; angles 90.00, 94.83, 90.00 degrees
Space group P2_1/m (No. 11)
Symmetry-distinct sites (fractional):
1 Na 0.100 0.250 0.354 [2 per cell]
2 Cd 0.169 0.250 0.976 [2 per cell]
3 As 0.389 0.750 0.660 [2 per cell]
4 O 0.110 0.750 0.146 [2 per cell]
5 O 0.189 0.750 0.563 [2 per cell]
6 O 0.374 0.250 0.798 [2 per cell]

=====

No. 4
Na2CdAsP: optimized geometry, PBE.

Properties
Energy relative to the elements (kcal/mol of atoms): 3.67
Raw total energy (eV/atom): -2.5635
Calculated density (g/cm3): 3.08

Cell lengths 5.401, 5.401, 4.879 Å; angles 90.00, 90.00, 90.00 degrees
Space group P4/mmm (No. 123)
Symmetry-distinct sites (fractional):
1 Na 0.000 0.500 0.000 [2 per cell]
2 Cd 0.000 0.000 0.500 [1 per cell]
3 As 0.500 0.500 0.500 [1 per cell]
4 P 0.000 0.000 0.000 [1 per cell]

=====

No. 5
NaCdAsPd: optimized geometry, PBE.

Properties
Energy relative to the elements (kcal/mol of atoms): -4.53
Raw total energy (eV/atom): -3.2157
Calculated density (g/cm3): 7.10

Cell lengths 6.666, 6.666, 6.666 Å; angles 90.00, 90.00, 90.00 degrees
Space group F-43m (No. 216)
Symmetry-distinct sites (fractional):
1 Na 0.000 0.000 0.000 [4 per cell]
2 Cd 0.250 0.250 0.750 [4 per cell]
3 As 0.250 0.250 0.250 [4 per cell]
4 Pd 0.000 0.000 0.500 [4 per cell]

=====

No. 6
Na2CdAs2Pd5: optimized geometry, PBE.

Properties
Energy relative to the elements (kcal/mol of atoms): -8.61
Raw total energy (eV/atom): -4.2551
Calculated density (g/cm3): 7.65

Cell lengths 10.252, 10.252, 3.471 Å; angles 90.00, 90.00, 90.00 degrees
Space group P4/mbm (No. 127)
Symmetry-distinct sites (fractional):
1 Na 0.173 0.327 0.000 [4 per cell]
2 Cd 0.000 0.000 0.000 [2 per cell]
3 As 0.129 0.629 0.000 [4 per cell]
4 Pd 0.000 0.500 0.500 [2 per cell]
5 Pd 0.064 0.793 0.500 [8 per cell]

=====

No. 7
Na2CdAs3Pd4: optimized geometry, PBE.

Properties
Energy relative to the elements (kcal/mol of atoms): -8.71
Raw total energy (eV/atom): -4.2049
Calculated density (g/cm3): 6.71

Cell lengths 4.390, 4.390, 10.381 Å; angles 90.00, 90.00, 90.00 degrees
Space group P-4m2 (No. 115)
Symmetry-distinct sites (fractional):
1 Na 0.000 0.500 0.242 [2 per cell]
2 Cd 0.000 0.000 0.500 [1 per cell]
3 As 0.000 0.500 0.879 [2 per cell]
4 As 0.500 0.500 0.500 [1 per cell]
5 Pd 0.000 0.000 0.000 [1 per cell]
6 Pd 0.000 0.500 0.646 [2 per cell]
7 Pd 0.500 0.500 0.000 [1 per cell]

=====

No. 8
Rb2NaCdAs: optimized geometry, PBE.

Properties
Energy relative to the elements (kcal/mol of atoms): -1.63
Raw total energy (eV/atom): -1.8343
Calculated density (g/cm3): 2.50

Cell lengths 7.022, 7.022, 5.131 Å; angles 90.00, 90.00, 90.00 degrees
Space group P4/mmm (No. 123)
Symmetry-distinct sites (fractional):
1 Rb 0.000 0.500 0.000 [2 per cell]
2 Na 0.000 0.000 0.500 [1 per cell]
3 Cd 0.500 0.500 0.500 [1 per cell]
4 As 0.500 0.500 0.000 [1 per cell]